Entry from Alexandria: a geometry-optimized SmDyNiRu structure (PBE).

Results
N(E_F)   2.4 states/eV/cell
E_tot   -25.7 eV for the cell shown
ΔE_f   -0.3364 eV per atom
Symmetry   P4mm, No. 99

Geometry as extended XYZ:
```
4
Lattice="3.4201 0.0000 0.0000 0.0000 3.4201 0.0000 0.0000 0.0000 6.8896" Properties=species:S:1:pos:R:3 pbc="T T T"
Sm 0.0000 0.0000 5.9194
Dy 0.0000 0.0000 2.4569
Ni 1.7100 1.7100 4.1159
Ru 1.7100 1.7100 0.7907
```